1.
Below is an optimized crystal structure of CsKBrF, with properties calculated at the PBE level.

abc: 5.500 5.500 11.778
angles: 76.50 76.50 60.00
Element x y z (fractional)
Cs1 0.625 0.625 0.125
Cs2 0.375 0.375 0.875
K1 0.783 0.783 0.651
K2 0.217 0.217 0.349
Br1 0.118 0.118 0.647
Br2 0.882 0.882 0.353
F1 0.708 0.708 0.876
F2 0.292 0.292 0.124

energy relative to the elements, uncorrected: -2165 meV/atom
V: 37.1 Å³ per atom
spin magnetization: 0.081 μB/f.u.

---

2.
Below is an optimized crystal structure of NaP2OsO, with properties calculated at the PBE level.

abc: 4.711 4.711 3.721
angles: 90.00 90.00 90.00
Element x y z (fractional)
P1 0.000 0.500 0.000
P2 0.500 0.000 0.000
Os1 0.500 0.500 0.500
O1 0.000 0.000 0.500
Na1 0.000 0.000 0.000

energy relative to the elements, uncorrected: 1739 meV/atom
V: 16.5 Å³ per atom
spin magnetization: 2.057 μB/f.u.

---

3.
Below is an optimized crystal structure of Ba3TmCu2O6, with properties calculated at the PBE level.

abc: 6.145 6.145 6.889
angles: 90.00 90.00 120.00
Element x y z (fractional)
Ba1 0.333 0.667 0.655
Ba2 0.667 0.333 0.345
Ba3 0.000 0.000 0.000
Tm1 0.000 0.000 0.500
Cu1 0.667 0.333 0.784
Cu2 0.333 0.667 0.216
O1 0.672 0.836 0.303
O2 0.164 0.328 0.303
O3 0.164 0.836 0.303
O4 0.836 0.672 0.697
O5 0.328 0.164 0.697
O6 0.836 0.164 0.697

energy relative to the elements, uncorrected: -2042 meV/atom
V: 18.8 Å³ per atom
spin magnetization: 1.060 μB/f.u.

---

4.
Below is an optimized crystal structure of TbSm2Ho6, with properties calculated at the PBE level.

abc: 6.551 9.551 9.551
angles: 95.97 80.75 80.75
Element x y z (fractional)
Tb1 0.250 0.119 0.881
Tb2 0.750 0.881 0.119
Sm1 0.128 0.618 0.668
Sm2 0.372 0.332 0.382
Sm3 0.872 0.382 0.332
Sm4 0.628 0.668 0.618
Ho1 0.503 0.651 0.277
Ho2 0.997 0.723 0.349
Ho3 0.497 0.349 0.723
Ho4 0.003 0.277 0.651
Ho5 0.729 0.059 0.462
Ho6 0.771 0.538 0.941
Ho7 0.271 0.941 0.538
Ho8 0.229 0.462 0.059
Ho9 0.317 0.778 0.956
Ho10 0.183 0.044 0.222
Ho11 0.683 0.222 0.044
Ho12 0.817 0.956 0.778

V: 32.1 Å³ per atom
spin magnetization: 0.000 μB/f.u.
ΔE_f: 0.109 eV per atom

---

5.
Below is an optimized crystal structure of CsAg2, with properties calculated at the PBE level.

abc: 4.914 7.266 7.061
angles: 115.33 110.37 90.00
Element x y z (fractional)
Cs1 0.109 0.298 0.217
Cs2 0.891 0.702 0.783
Ag1 0.787 0.107 0.573
Ag2 0.398 0.307 0.796
Ag3 0.602 0.693 0.204
Ag4 0.213 0.893 0.427

V: 35.0 Å³ per atom
spin magnetization: 0.000 μB/f.u.
ΔE_f: 0.060 eV per atom

---

6.
Below is an optimized crystal structure of TiTlCd2, with properties calculated at the PBE level.

abc: 4.509 4.302 4.302
angles: 90.00 90.00 90.00
Element x y z (fractional)
Tl1 0.500 0.000 0.000
Ti1 0.500 0.500 0.500
Cd1 0.000 0.000 0.500
Cd2 0.000 0.500 0.000

V: 20.9 Å³ per atom
spin magnetization: 0.000 μB/f.u.
ΔE_f: 0.073 eV per atom